A relaxed Y2HoEr3Se6 crystal, computed with PBE.

Calculated values
Energy = -6.06 eV per atom
Space group = C2/m (12)
Calculated volume = 283.1 Å³/f.u.
Formation energy (no corrections) = -1.72 eV per atom

Cell lengths 4.0447, 8.1469, 9.0693 Å; angles 103.29, 102.88, 90.00 degrees
Positions (direct):
1 Y 0.8328 0.6657 0.6657
2 Y 0.1672 0.3343 0.3343
3 Ho 0.5000 0.0000 0.0000
4 Er 0.5000 0.5000 0.0000
5 Er 0.8325 0.1665 0.6651
6 Er 0.1675 0.8335 0.3349
7 Se 0.3333 0.9198 0.6667
8 Se 0.6654 0.5863 0.3307
9 Se 0.6667 0.0802 0.3333
10 Se 0.9988 0.2506 0.9976
11 Se 0.0012 0.7494 0.0024
12 Se 0.3346 0.4137 0.6693



A relaxed Y3HoEr3Se8 crystal, computed with PBE.

Calculated values
Energy = -6.19 eV per atom
Space group = R-3m (166)
Calculated volume = 375.0 Å³/f.u.
Formation energy (no corrections) = -1.82 eV per atom

Cell lengths 8.0899, 8.0900, 8.0994 Å; angles 119.97, 90.00, 120.00 degrees
Positions (direct):
1 Y 0.0000 0.0000 0.0000
2 Y 0.0000 0.5000 0.0000
3 Y 0.5000 0.5000 0.0000
4 Ho 0.0000 0.0000 0.5000
5 Er 0.5000 0.0000 0.5000
6 Er 0.5000 0.5000 0.5000
7 Er 0.0000 0.5000 0.5000
8 Se 0.2514 0.5028 0.2543
9 Se 0.7486 0.4972 0.7457
10 Se 0.7467 0.4935 0.2499
11 Se 0.2533 0.5065 0.7501
12 Se 0.7469 0.0030 0.2497
13 Se 0.2531 0.9970 0.7503
14 Se 0.2562 0.0030 0.2497
15 Se 0.7438 0.9970 0.7503



A relaxed YHoEr2Se6 crystal, computed with PBE.

Calculated values
Energy = -5.96 eV per atom
Space group = R3 (146)
Calculated volume = 287.0 Å³/f.u.
Formation energy (no corrections) = -1.85 eV per atom

Cell lengths 7.1636, 7.1636, 7.6691 Å; angles 62.15, 62.15, 60.00 degrees
Positions (direct):
1 Y 0.3179 0.3179 0.0462
2 Ho 0.8181 0.8181 0.5456
3 Er 0.5132 0.5132 0.4605
4 Er 0.0133 0.0133 0.9602
5 Se 0.6137 0.2234 0.2511
6 Se 0.2234 0.9118 0.2511
7 Se 0.9119 0.6137 0.2511
8 Se 0.4134 0.7248 0.7498
9 Se 0.7248 0.1119 0.7498
10 Se 0.1119 0.4135 0.7498



A relaxed Y3Ho2ErSe6 crystal, computed with PBE.

Calculated values
Energy = -6.24 eV per atom
Space group = C2/m (12)
Calculated volume = 285.6 Å³/f.u.
Formation energy (no corrections) = -1.74 eV per atom

Cell lengths 4.0573, 8.1694, 9.0933 Å; angles 103.19, 102.89, 90.00 degrees
Positions (direct):
1 Y 0.5000 0.5000 0.0000
2 Y 0.8328 0.1674 0.6656
3 Y 0.1672 0.8326 0.3344
4 Ho 0.8330 0.6665 0.6659
5 Ho 0.1670 0.3335 0.3341
6 Er 0.5000 0.0000 0.0000
7 Se 0.3347 0.9158 0.6694
8 Se 0.6671 0.5811 0.3343
9 Se 0.6653 0.0842 0.3306
10 Se 0.0006 0.2469 0.0011
11 Se 0.9994 0.7531 0.9989
12 Se 0.3329 0.4189 0.6657